Record 1
A relaxed structure of LiSb2Rh2. Source: Alexandria via LeMat-Bulk, functional PBE-GGA.

Computed properties:
Calculated volume = 216.9 Å³/cell
SG = I4/mmm (139)
Distance to the lowest polymorph of the same formula = 196.6 meV per atom
E_form (uncorrected) = -0.180 eV/atom

Cell lengths 4.6954, 4.6954, 9.8373 Å; angles 90.00, 90.00, 90.00 degrees
With the nearest neighbours (Å) after each atom.
Fractional positions:
Li 0.0000 0.0000 0.0000  8 Sb 3.40, 10 Rh 3.56-3.63
Li 0.5000 0.5000 0.5000  8 Sb 3.40, 10 Rh 3.56-3.63
Sb 0.0000 0.5000 0.2500  4 Rh 2.62
Sb 0.0000 0.5000 0.7500  4 Rh 2.62
Sb 0.5000 0.0000 0.2500  4 Rh 2.62
Sb 0.5000 0.0000 0.7500  4 Rh 2.62
Rh 0.0000 0.0000 0.3690  1 Rh 2.58, 4 Sb 2.62
Rh 0.0000 0.0000 0.6310  1 Rh 2.58, 4 Sb 2.62
Rh 0.5000 0.5000 0.1310  1 Rh 2.58, 4 Sb 2.62
Rh 0.5000 0.5000 0.8690  1 Rh 2.58, 4 Sb 2.62

Record 2
A relaxed structure of Cr2CdHg. Source: Alexandria via LeMat-Bulk, functional PBE-GGA.

Computed properties:
Calculated volume = 152.5 Å³/cell
DFT formation energy = 633 meV/atom
SG = C2/m (12)
Distance to the lowest polymorph of the same formula = 346.5 meV per atom

Cell lengths 9.3119, 3.1391, 5.3227 Å; angles 90.00, 101.39, 90.00 degrees
With the nearest neighbours (Å) after each atom.
Fractional positions:
Cr 0.2488 0.0000 0.2481  3 Hg 2.89-2.90, 3 Cd 2.90-2.91, 6 Cr 3.08-3.14
Cr 0.2512 0.5000 0.7519  3 Hg 2.89-2.90, 3 Cd 2.90-2.91, 6 Cr 3.08-3.14
Cr 0.7488 0.5000 0.2481  3 Hg 2.89-2.90, 3 Cd 2.90-2.91, 6 Cr 3.08-3.14
Cr 0.7512 0.0000 0.7519  3 Hg 2.89-2.90, 3 Cd 2.90-2.91, 6 Cr 3.08-3.14
Cd 0.0000 0.0000 0.5000  6 Cr 2.90-2.91, 4 Hg 3.09, 2 Cd 3.14
Cd 0.5000 0.5000 0.5000  6 Cr 2.90-2.91, 4 Hg 3.09, 2 Cd 3.14
Hg 0.0000 0.5000 0.0000  6 Cr 2.89-2.90, 4 Cd 3.09, 2 Hg 3.14
Hg 0.5000 0.0000 0.0000  6 Cr 2.89-2.90, 4 Cd 3.09, 2 Hg 3.14

Record 3
A relaxed structure of Ca2OsRu. Source: Alexandria via LeMat-Bulk, functional PBE-GGA.

Computed properties:
Calculated volume = 75.0 Å³/cell
DFT formation energy = 647 meV/atom
SG = Pmmm (47)
Distance to the lowest polymorph of the same formula = 411.0 meV per atom

Cell lengths 3.3007, 4.6944, 4.8403 Å; angles 90.00, 90.00, 90.00 degrees
With the nearest neighbours (Å) after each atom.
Fractional positions:
Ca 0.0000 0.0000 0.0000  4 Ru 2.87, 4 Ca 2.93
Ca 0.5000 0.0000 0.5000  4 Os 2.87, 4 Ca 2.93
Os 0.0000 0.5000 0.5000  4 Ca 2.87, 4 Ru 2.93
Ru 0.5000 0.5000 0.0000  4 Ca 2.87, 4 Os 2.93

Record 4
A relaxed structure of LaReSi4. Source: Alexandria via LeMat-Bulk, functional PBE-GGA.

Computed properties:
Calculated volume = 101.6 Å³/cell
SG = F-43m (216)
E_form (uncorrected) = 0.397 eV/atom

Cell lengths 5.2380, 5.2380, 5.2380 Å; angles 60.00, 60.00, 60.00 degrees
With the nearest neighbours (Å) after each atom.
Fractional positions:
La 0.0000 0.0000 0.0000  12 Si 3.08, 4 Re 3.21
Re 0.7500 0.7500 0.7500  12 Si 3.06, 4 La 3.21
Si 0.3793 0.3793 0.3793  6 Si 2.53-2.71
Si 0.3793 0.3793 0.8622  6 Si 2.53-2.71
Si 0.3793 0.8622 0.3793  6 Si 2.53-2.71
Si 0.8622 0.3793 0.3793  6 Si 2.53-2.71

Record 5
A relaxed structure of Sc2CSe. Source: Alexandria via LeMat-Bulk, functional PBE-GGA.

Computed properties:
Calculated volume = 198.8 Å³/cell
SG = R3m (160)
E_form (uncorrected) = -1.101 eV/atom

Cell lengths 3.4914, 3.4914, 18.8292 Å; angles 90.00, 90.00, 120.00 degrees
With the nearest neighbours (Å) after each atom.
Fractional positions:
Sc 0.0000 0.0000 0.0000  3 C 2.38
Sc 0.0000 0.0000 0.2035  3 C 2.34
Sc 0.3333 0.6667 0.6667  3 C 2.38
Sc 0.3333 0.6667 0.8702  3 C 2.34
Sc 0.6667 0.3333 0.3333  3 C 2.38
Sc 0.6667 0.3333 0.5369  3 C 2.34
C 0.0000 0.0000 0.5999  6 Sc 2.34-2.38
C 0.3333 0.6667 0.2666  6 Sc 2.34-2.38
C 0.6667 0.3333 0.9333  6 Sc 2.34-2.38
Se 0.0000 0.0000 0.7689  6 Sc 2.78-2.79
Se 0.3333 0.6667 0.4355  6 Sc 2.78-2.79
Se 0.6667 0.3333 0.1022  6 Sc 2.78-2.79

Record 6
A relaxed structure of La12Sm6Zr. Source: Alexandria via LeMat-Bulk, functional PBE-GGA.

Computed properties:
Calculated volume = 663.9 Å³/cell
DFT formation energy = 45 meV/atom
SG = R-3 (148)

Cell lengths 9.6996, 9.6996, 9.6996 Å; angles 110.86, 110.86, 110.86 degrees
With the nearest neighbours (Å) after each atom.
Fractional positions:
La 0.0589 0.5845 0.3747  8 La 3.66-3.73, 4 Sm 3.66-3.73
La 0.1010 0.1518 0.7433  1 Zr 3.56, 8 La 3.56-3.77, 3 Sm 3.58-3.84
La 0.1518 0.7433 0.1010  1 Zr 3.56, 8 La 3.56-3.77, 3 Sm 3.58-3.84
La 0.2567 0.8990 0.8482  1 Zr 3.56, 8 La 3.56-3.77, 3 Sm 3.58-3.84
La 0.3747 0.0589 0.5845  8 La 3.66-3.73, 4 Sm 3.66-3.73
La 0.4155 0.6253 0.9411  8 La 3.66-3.73, 4 Sm 3.66-3.73
La 0.5845 0.3747 0.0589  8 La 3.66-3.73, 4 Sm 3.66-3.73
La 0.6253 0.9411 0.4155  8 La 3.66-3.73, 4 Sm 3.66-3.73
La 0.7433 0.1010 0.1518  1 Zr 3.56, 8 La 3.56-3.77, 3 Sm 3.58-3.84
La 0.8482 0.2567 0.8990  1 Zr 3.56, 8 La 3.56-3.77, 3 Sm 3.58-3.84
La 0.8990 0.8482 0.2567  1 Zr 3.56, 8 La 3.56-3.77, 3 Sm 3.58-3.84
La 0.9411 0.4155 0.6253  8 La 3.66-3.73, 4 Sm 3.66-3.73
Sm 0.2076 0.3089 0.4616  4 Sm 3.54-3.74, 7 La 3.58-3.84, 1 Zr 3.58
Sm 0.3089 0.4616 0.2076  4 Sm 3.54-3.74, 7 La 3.58-3.84, 1 Zr 3.58
Sm 0.4616 0.2076 0.3089  4 Sm 3.54-3.74, 7 La 3.58-3.84, 1 Zr 3.58
Sm 0.5384 0.7924 0.6911  4 Sm 3.54-3.74, 7 La 3.58-3.84, 1 Zr 3.58
Sm 0.6911 0.5384 0.7924  4 Sm 3.54-3.74, 7 La 3.58-3.84, 1 Zr 3.58
Sm 0.7924 0.6911 0.5384  4 Sm 3.54-3.74, 7 La 3.58-3.84, 1 Zr 3.58
Zr 0.0000 0.0000 0.0000  6 La 3.56, 6 Sm 3.58